Computed, not measured: SrVSiO5 after structural relaxation at the GGA+U level of DFT.

Geometry as CIF:
```
data_SrVSiO5
_chemical_formula_sum 'Sr4 V4 Si4 O20'
_cell_length_a 6.755
_cell_length_b 8.999
_cell_length_c 7.110
_cell_angle_alpha 90.00
_cell_angle_beta 113.55
_cell_angle_gamma 90.00
_symmetry_space_group_name_H-M 'C 1 2/c 1'
_symmetry_Int_Tables_number 15
_symmetry_space_group_name_Hall '-C 2yc'
loop_
_atom_site_label
_atom_site_type_symbol
_atom_site_fract_x
_atom_site_fract_y
_atom_site_fract_z
Sr1 Sr 0.000 0.167 0.250
V1 V 0.000 0.500 0.000
Si1 Si 0.000 0.187 0.750
O1 O 0.000 0.444 0.250
O2 O 0.094 0.291 0.612
O3 O 0.189 0.074 0.903
```

Properties
E_tot (eV per atom): -7.564